{
  "formula": "RuRh2Au",
  "functional": "PBE-GGA",
  "state": "relaxed",
  "relative_energy_ev_per_fu": 1.30,
  "total_magnetization_mub_per_fu": 3.15,
  "vol_a3_per_atom": 15.549,
  "crystal_system": "cubic",
  "final_energy_ev_per_atom": -6.4118,
  "cell": [[3.1307, -2.2114, 2.2554], [1.3908, 1.5177, 3.9421], [-1.0666, -2.1825, 3.7252]],
  "species": ["Rh", "Rh", "Au", "Ru"],
  "fractional_positions": [[0.7500, 0.7500, 0.7500], [0.2500, 0.2500, 0.2500], [0.5000, 0.5000, 0.5000], [0.0000, 0.0000, 0.0000]]
}